# 1
PuAu2Cl6 (PBE-GGA, relaxed); space group = C2/c, No. 15; ΔE_f (raw) = -0.988 eV per atom; volume = 323.7 Å³/f.u.
1.0
6.783 -0.075 0.880
1.338 9.705 0.601
0.030 -0.625 9.795
Cl Au Pu
12 4 2
Cartesian
6.986 8.550 4.403
7.074 4.383 8.295
6.204 1.503 1.331
1.166 0.455 6.874
5.494 8.686 9.299
4.175 2.257 5.494
1.948 7.502 9.946
5.331 6.518 1.884
1.078 4.622 2.982
2.658 0.319 1.978
3.977 6.748 5.783
2.822 2.487 9.393
5.545 5.519 6.972
6.001 3.465 4.730
2.607 3.486 4.305
2.151 5.540 6.547
1.833 0.203 9.262
6.319 8.801 2.015



# 2
RbPuAu2Cl8 (PBE-GGA, relaxed); space group = P-1, No. 2; ΔE_f (raw) = -1.089 eV per atom; volume = 423.4 Å³/f.u.
1.0
6.652 -1.149 0.255
-1.166 7.222 1.073
0.336 1.572 9.338
Cl Pu Au Rb
8 1 2 1
Cartesian
3.065 4.940 1.437
6.079 1.675 7.589
-0.257 5.970 3.077
3.329 1.969 4.909
2.758 2.704 9.228
5.895 0.697 1.796
2.494 5.676 5.757
-0.072 6.948 8.870
0.000 0.000 0.000
3.264 3.497 3.227
2.559 4.148 7.439
0.168 0.786 4.669



# 3
Rb5AuCl4 (PBE-GGA, relaxed); space group = I4/mmm, No. 139; ΔE_f (raw) = -1.600 eV per atom; volume = 390.7 Å³/f.u.
1.0
-3.938 -1.549 -2.264
2.522 -0.485 -4.054
4.525 -14.944 7.442
Rb Cl Au
5 4 1
Cartesian
0.791 -3.307 0.887
-0.708 -1.017 -3.159
2.318 -13.671 0.236
2.286 -9.559 2.565
0.823 -7.419 -1.442
1.536 -6.424 1.724
1.572 -10.553 -0.601
3.039 -12.711 3.410
0.069 -4.267 -2.287
0.000 0.000 0.000



# 4
Rb12Au3Cl5 (PBE-GGA, relaxed); space group = Ia-3d, No. 230; ΔE_f (raw) = -0.959 eV per atom; volume = 1021.3 Å³/f.u.
1.0
17.443 0.000 0.000
-5.814 16.445 0.000
-5.814 -8.223 14.242
Cl Rb Au
20 48 12
Cartesian
-2.907 -4.111 7.121
-1.454 1.028 8.901
8.721 0.000 0.000
7.268 4.111 10.681
7.268 7.195 5.341
-1.454 13.362 1.780
1.454 5.139 12.462
-1.454 4.111 3.560
4.361 12.334 3.560
-4.361 9.250 5.341
7.268 -5.139 12.462
4.361 3.083 1.780
10.175 -1.028 8.901
5.814 8.223 0.000
-2.907 8.223 0.000
2.907 4.111 7.121
5.814 -4.111 7.121
1.454 -4.111 10.681
-5.814 4.111 7.121
0.000 0.000 0.000
4.181 6.968 5.915
3.546 6.069 1.206
-0.639 6.101 1.262
-1.633 -4.495 10.198
7.935 9.133 7.730
-7.088 4.495 10.198
-0.787 1.073 3.077
8.083 8.190 2.468
1.633 1.255 8.327
7.088 -1.255 8.327
0.787 10.206 9.589
-2.269 0.032 11.774
10.354 -5.750 12.371
11.477 1.809 0.609
2.756 10.902 5.859
-3.694 9.296 11.165
-1.274 9.477 5.915
3.546 10.344 1.262
-0.639 10.376 1.206
-3.058 3.734 8.992
-4.540 13.972 1.871
5.028 -1.983 4.653
2.269 -2.121 12.980
10.842 0.910 6.512
3.694 1.983 4.653
5.663 2.680 8.383
8.872 14.636 0.609
7.447 12.718 4.044
-5.965 11.957 5.250
-6.453 -0.032 11.774
3.058 -2.680 8.383
2.269 2.153 13.036
6.601 7.149 11.165
12.267 8.255 2.468
-2.120 -0.910 6.512
-3.058 -6.414 13.633
0.151 5.543 5.859
7.447 2.473 1.871
6.453 2.121 12.980
6.453 -2.153 13.036
-1.633 5.750 12.371
11.780 -3.734 8.992
2.120 6.239 9.589
-5.663 6.414 13.633
-5.028 7.313 7.730
9.508 -1.073 3.077
8.872 4.488 5.250
12.903 3.727 4.044
-4.361 3.083 12.462
10.175 11.306 1.780
10.175 5.139 1.780
1.454 -1.028 5.341
4.361 0.000 10.681
-1.454 7.195 8.901
7.268 1.028 5.341
1.454 8.223 3.560
-7.268 8.223 10.681
13.082 0.000 3.560
-4.361 -3.083 12.462
4.361 9.250 8.901